A relaxed structure of BeReP2O. Source: Alexandria, functional PBE.

Calculated total energy: -0.22789 hartree per atom
ΔE_f (raw): 0.189 eV per atom
Magnetic moment: 0.001 μB per cell
Crystal system: tetragonal

Lattice parameters (Å, degrees): 4.691 4.691 2.838 90.00 90.00 90.00
Space group P4/mmm (No. 123)
Asymmetric unit:
Be 0.000 0.000 0.000
Re 0.500 0.500 0.500
P 0.000 0.500 0.000
O 0.000 0.000 0.500

---

A relaxed structure of CaTe2As. Source: Alexandria, functional PBE.

Calculated total energy: -0.13714 hartree per atom
ΔE_f (raw): -0.498 eV per atom
Magnetic moment: 0.000 μB per cell
Crystal system: trigonal

Lattice parameters (Å, degrees): 4.5224 4.5224 20.5478 90.00 90.00 120.00
Space group R-3m (No. 166, hexagonal axes)
Asymmetric unit:
Ca 0.0000 0.0000 0.0000
Te 0.0000 0.0000 0.2412
As 0.0000 0.0000 0.5000

---

A relaxed structure of AcThRh2. Source: Alexandria, functional PBE.

Calculated total energy: -0.26696 hartree per atom
Magnetic moment: 0.000 μB per cell
Crystal system: tetragonal
Energy relative to the elements: -0.706 eV/atom

Lattice parameters (Å, degrees): 3.626 3.626 7.411 90.00 90.00 90.00
Space group P4/mmm (No. 123)
Asymmetric unit:
Ac 0.000 0.000 0.000
Th 0.000 0.000 0.500
Rh 0.500 0.500 0.292